VASP calculation (PBEsol) on MgAlH5 after structural relaxation.

Output
As for the space group: C222_1 (20). As for the electronic total energy: -3.261 eV per atom.

POSCAR file:
```
MgAlH5
1.0
2.2518 -6.4569 0.0000
2.2518 6.4569 0.0000
0.0000 0.0000 4.2264
Mg Al H
2 2 10
Cartesian
2.2518 4.1501 3.1698
2.2518 -4.1501 1.0566
2.2518 1.1817 3.1698
2.2518 -1.1817 1.0566
0.8495 1.1682 4.0968
1.5743 2.5293 2.2123
0.8495 -1.1682 0.1296
1.4997 0.0000 2.1132
2.9293 2.5293 4.1274
1.5743 -2.5293 2.0142
3.0039 0.0000 0.0000
3.6540 1.1682 2.2428
2.9293 -2.5293 0.0991
3.6540 -1.1682 1.9836
```

***

VASP calculation (PBEsol) on Mg5AlH21O17 after structural relaxation.

Output
As for the space group: P1 (1). As for the electronic total energy: -5.444 eV per atom.

POSCAR file:
```
Mg5AlH21O17
1.0
3.0615 0.0000 0.0000
-1.3187 7.4495 0.0000
-0.0426 -0.6446 16.1134
Mg Al H O
5 1 21 17
Cartesian
0.0000 0.0000 0.0000
-0.0463 -0.2437 10.7629
-0.0202 0.0068 5.3984
1.5295 -0.0866 2.7001
1.4980 -0.0693 8.1487
1.4749 -0.4587 13.4365
-0.6638 3.3084 12.2059
0.0861 1.4529 14.3855
0.1142 1.9291 3.6539
0.2024 1.8872 9.2776
0.0679 3.7444 6.4044
0.1819 3.8112 7.9677
0.2612 5.4352 4.6993
0.2703 4.9367 14.8575
0.3455 5.2747 9.7919
1.0604 2.4102 5.3579
0.9716 3.2726 13.5974
1.0540 3.4894 10.7525
1.3960 1.6228 12.0502
1.5205 1.9572 1.0339
1.4876 3.0796 15.0822
1.6431 3.6987 4.6338
1.9438 1.9579 6.8070
1.7457 3.4685 9.3216
1.5902 5.0867 12.4832
1.7426 5.3657 1.7590
1.8918 5.5035 7.1653
-0.0294 0.4703 14.2816
-0.0029 0.9654 3.5551
-0.0369 0.9515 9.0987
-0.4826 3.7756 7.2415
0.6352 3.1605 14.6023
0.1668 5.9142 14.9862
0.1902 6.3872 4.5142
0.1676 6.2357 9.8869
0.7745 3.3132 4.8790
0.8540 3.5332 9.7272
1.4685 0.6404 11.9281
1.5302 1.0035 0.8731
1.5526 1.2558 6.2321
1.4217 3.4202 12.2199
1.6660 6.0803 12.6307
1.7388 6.3322 1.7069
1.7121 6.4708 7.1653
```